# NdTh2S6, optimized geometry, DFT PBE-GGA
data_NdTh2S6
_chemical_formula_sum 'Nd2 Th4 S12'
_cell_length_a 6.5138
_cell_length_b 6.5138
_cell_length_c 12.8651
_cell_angle_alpha 90.00
_cell_angle_beta 90.00
_cell_angle_gamma 90.00
_symmetry_space_group_name_H-M 'P 42/m n m'
_symmetry_Int_Tables_number 136
_symmetry_space_group_name_Hall '-P 4n 2n'
loop_
_atom_site_label
_atom_site_type_symbol
_atom_site_fract_x
_atom_site_fract_y
_atom_site_fract_z
Nd1 Nd 0.0000 0.0000 0.0000
Th1 Th 0.0000 0.0000 0.3331
S1 S 0.1915 0.1915 0.5000
S2 S 0.1977 0.1977 0.1694
# VASP energy ... -6.6065 eV per atom
# Formation energy (no corrections) ... -161.73 kJ per mole of atoms



# Nd2Th2S7, optimized geometry, DFT PBE-GGA
data_Nd2Th2S7
_chemical_formula_sum 'Nd4 Th4 S14'
_cell_length_a 4.1047
_cell_length_b 14.2408
_cell_length_c 8.7837
_cell_angle_alpha 90.00
_cell_angle_beta 90.00
_cell_angle_gamma 90.00
_symmetry_space_group_name_H-M 'I m m 2'
_symmetry_Int_Tables_number 44
_symmetry_space_group_name_Hall 'I 2 -2'
loop_
_atom_site_label
_atom_site_type_symbol
_atom_site_fract_x
_atom_site_fract_y
_atom_site_fract_z
Nd1 Nd 0.0000 0.0000 0.0000
Nd2 Nd 0.0000 0.5000 0.0418
Th1 Th 0.0000 0.2612 0.7868
S1 S 0.0000 0.1410 0.4870
S2 S 0.0000 0.1876 0.0935
S3 S 0.0000 0.3857 0.3158
S4 S 0.0000 0.5000 0.7214
# VASP energy ... -6.8479 eV per atom
# Formation energy (no corrections) ... -193.49 kJ per mole of atoms



# Nd2ThS3, optimized geometry, DFT PBE-GGA
data_Nd2ThS3
_chemical_formula_sum 'Nd8 Th4 S12'
_cell_length_a 5.7498
_cell_length_b 12.0533
_cell_length_c 8.1800
_cell_angle_alpha 90.00
_cell_angle_beta 90.01
_cell_angle_gamma 90.00
_symmetry_space_group_name_H-M 'P 1 21/c 1'
_symmetry_Int_Tables_number 14
_symmetry_space_group_name_Hall '-P 2ybc'
loop_
_atom_site_label
_atom_site_type_symbol
_atom_site_fract_x
_atom_site_fract_y
_atom_site_fract_z
Nd1 Nd 0.2494 0.2463 0.3755
Nd2 Nd 0.2503 0.5830 0.8732
Th1 Th 0.2504 0.5851 0.3768
S1 S 0.2497 0.0811 0.6290
S2 S 0.2495 0.0832 0.1222
S3 S 0.2506 0.7487 0.1252
# VASP energy ... -6.8453 eV per atom
# Formation energy (no corrections) ... -188.69 kJ per mole of atoms



# Nd5ThS6, optimized geometry, DFT PBE-GGA
data_Nd5ThS6
_chemical_formula_sum 'Nd10 Th2 S12'
_cell_length_a 7.0259
_cell_length_b 12.1956
_cell_length_c 7.0507
_cell_angle_alpha 90.00
_cell_angle_beta 109.54
_cell_angle_gamma 90.00
_symmetry_space_group_name_H-M 'C 1 2/m 1'
_symmetry_Int_Tables_number 12
_symmetry_space_group_name_Hall '-C 2y'
loop_
_atom_site_label
_atom_site_type_symbol
_atom_site_fract_x
_atom_site_fract_y
_atom_site_fract_z
Nd1 Nd 0.0000 0.0000 0.0000
Nd2 Nd 0.0000 0.1668 0.5000
Nd3 Nd 0.0000 0.3297 0.0000
Th1 Th 0.0000 0.5000 0.5000
S1 S 0.2465 0.5000 0.2490
S2 S 0.2477 0.3348 0.7478
# VASP energy ... -6.6592 eV per atom
# Formation energy (no corrections) ... -192.06 kJ per mole of atoms



# NdTh3S, optimized geometry, DFT PBE-GGA
data_NdTh3S
_chemical_formula_sum 'Nd1 Th3 S1'
_cell_length_a 5.4526
_cell_length_b 5.4526
_cell_length_c 5.4526
_cell_angle_alpha 90.00
_cell_angle_beta 90.00
_cell_angle_gamma 90.00
_symmetry_space_group_name_H-M 'P m -3 m'
_symmetry_Int_Tables_number 221
_symmetry_space_group_name_Hall '-P 4 2 3'
loop_
_atom_site_label
_atom_site_type_symbol
_atom_site_fract_x
_atom_site_fract_y
_atom_site_fract_z
Nd1 Nd 0.0000 0.0000 0.0000
Th1 Th 0.0000 0.5000 0.5000
S1 S 0.5000 0.5000 0.5000
# VASP energy ... -6.8185 eV per atom
# Formation energy (no corrections) ... -56.69 kJ per mole of atoms



# NdTh5S6, optimized geometry, DFT PBE-GGA
data_NdTh5S6
_chemical_formula_sum 'Nd2 Th10 S12'
_cell_length_a 7.0237
_cell_length_b 12.1119
_cell_length_c 7.0022
_cell_angle_alpha 90.00
_cell_angle_beta 109.37
_cell_angle_gamma 90.00
_symmetry_space_group_name_H-M 'C 1 2/m 1'
_symmetry_Int_Tables_number 12
_symmetry_space_group_name_Hall '-C 2y'
loop_
_atom_site_label
_atom_site_type_symbol
_atom_site_fract_x
_atom_site_fract_y
_atom_site_fract_z
Nd1 Nd 0.0000 0.0000 0.0000
Th1 Th 0.0000 0.1658 0.5000
Th2 Th 0.0000 0.3331 0.0000
Th3 Th 0.0000 0.5000 0.5000
S1 S 0.2493 0.5000 0.2491
S2 S 0.2501 0.1667 0.2498
# VASP energy ... -7.4224 eV per atom
# Formation energy (no corrections) ... -180.40 kJ per mole of atoms



# NdThS3, optimized geometry, DFT PBE-GGA
data_NdThS3
_chemical_formula_sum 'Nd4 Th4 S12'
_cell_length_a 15.2971
_cell_length_b 4.7503
_cell_length_c 8.0811
_cell_angle_alpha 90.00
_cell_angle_beta 97.51
_cell_angle_gamma 90.00
_symmetry_space_group_name_H-M 'C 1 2/m 1'
_symmetry_Int_Tables_number 12
_symmetry_space_group_name_Hall '-C 2y'
loop_
_atom_site_label
_atom_site_type_symbol
_atom_site_fract_x
_atom_site_fract_y
_atom_site_fract_z
Nd1 Nd 0.1355 0.0000 0.3752
Th1 Th 0.1247 0.5000 0.8944
S1 S 0.0530 0.5000 0.2073
S2 S 0.1774 0.5000 0.5824
S3 S 0.1806 0.0000 0.0412
# ΔE to the lowest computed polymorph ... 236.6 meV per atom
# VASP energy ... -6.6957 eV per atom
# Formation energy (no corrections) ... -171.91 kJ per mole of atoms



# Nd5ThS7, optimized geometry, DFT PBE-GGA
data_Nd5ThS7
_chemical_formula_sum 'Nd20 Th4 S28'
_cell_length_a 13.4819
_cell_length_b 3.9875
_cell_length_c 23.6709
_cell_angle_alpha 90.00
_cell_angle_beta 91.75
_cell_angle_gamma 90.00
_symmetry_space_group_name_H-M 'C 1 m 1'
_symmetry_Int_Tables_number 8
_symmetry_space_group_name_Hall 'C -2y'
loop_
_atom_site_label
_atom_site_type_symbol
_atom_site_fract_x
_atom_site_fract_y
_atom_site_fract_z
Nd1 Nd 0.0000 0.0000 0.0000
Nd2 Nd 0.0018 0.0000 0.5001
Nd3 Nd 0.0444 0.5000 0.8537
Nd4 Nd 0.0544 0.5000 0.6477
Nd5 Nd 0.2203 0.5000 0.4287
Nd6 Nd 0.2272 0.5000 0.0706
Nd7 Nd 0.2731 0.0000 0.9296
Nd8 Nd 0.2831 0.0000 0.5718
Nd9 Nd 0.4486 0.0000 0.3527
Nd10 Nd 0.4563 0.0000 0.1465
Th1 Th 0.2103 0.0000 0.2401
Th2 Th 0.2916 0.5000 0.7612
S1 S 0.0636 0.5000 0.2514
S2 S 0.0868 0.0000 0.3872
S3 S 0.1002 0.0000 0.1180
S4 S 0.1345 0.5000 0.9622
S5 S 0.1394 0.5000 0.5395
S6 S 0.1807 0.0000 0.8193
S7 S 0.1993 0.0000 0.6837
S8 S 0.3036 0.5000 0.3167
S9 S 0.3196 0.5000 0.1810
S10 S 0.3639 0.0000 0.4610
S11 S 0.3658 0.0000 0.0381
S12 S 0.4000 0.5000 0.8820
S13 S 0.4168 0.5000 0.6127
S14 S 0.4382 0.0000 0.7487
# VASP energy ... -6.6211 eV per atom
# Formation energy (no corrections) ... -192.40 kJ per mole of atoms



# Nd3Th4S8, optimized geometry, DFT PBE-GGA
data_Nd3Th4S8
_chemical_formula_sum 'Nd6 Th8 S16'
_cell_length_a 11.4051
_cell_length_b 11.4221
_cell_length_c 8.0641
_cell_angle_alpha 90.00
_cell_angle_beta 134.82
_cell_angle_gamma 90.00
_symmetry_space_group_name_H-M 'C 1 2/m 1'
_symmetry_Int_Tables_number 12
_symmetry_space_group_name_Hall '-C 2y'
loop_
_atom_site_label
_atom_site_type_symbol
_atom_site_fract_x
_atom_site_fract_y
_atom_site_fract_z
Nd1 Nd 0.0000 0.0000 0.0000
Nd2 Nd 0.2500 0.2500 0.0000
Th1 Th 0.0000 0.5000 0.0000
Th2 Th 0.0000 0.5000 0.5000
Th3 Th 0.2500 0.2500 0.5000
S1 S 0.0000 0.2465 0.5000
S2 S 0.0000 0.2501 0.0000
S3 S 0.2450 0.0000 0.5009
S4 S 0.2495 0.0000 0.9957
# VASP energy ... -7.0626 eV per atom
# Formation energy (no corrections) ... -186.13 kJ per mole of atoms



# NdTh2S3, optimized geometry, DFT PBE-GGA
data_NdTh2S3
_chemical_formula_sum 'Nd4 Th8 S12'
_cell_length_a 5.7289
_cell_length_b 12.2367
_cell_length_c 8.0357
_cell_angle_alpha 90.00
_cell_angle_beta 90.00
_cell_angle_gamma 90.00
_symmetry_space_group_name_H-M 'P 1 21/c 1'
_symmetry_Int_Tables_number 14
_symmetry_space_group_name_Hall '-P 2ybc'
loop_
_atom_site_label
_atom_site_type_symbol
_atom_site_fract_x
_atom_site_fract_y
_atom_site_fract_z
Nd1 Nd 0.2496 0.0809 0.1261
Th1 Th 0.2496 0.0832 0.6235
Th2 Th 0.2509 0.7489 0.6245
S1 S 0.2490 0.2490 0.8748
S2 S 0.2504 0.5836 0.3729
S3 S 0.2505 0.5841 0.8759
# VASP energy ... -7.2288 eV per atom
# Formation energy (no corrections) ... -183.05 kJ per mole of atoms



# Nd3ThS4, optimized geometry, DFT PBE-GGA
data_Nd3ThS4
_chemical_formula_sum 'Nd6 Th2 S8'
_cell_length_a 7.0487
_cell_length_b 8.1067
_cell_length_c 7.0270
_cell_angle_alpha 90.00
_cell_angle_beta 109.37
_cell_angle_gamma 90.00
_symmetry_space_group_name_H-M 'P 1 2/c 1'
_symmetry_Int_Tables_number 13
_symmetry_space_group_name_Hall '-P 2yc'
loop_
_atom_site_label
_atom_site_type_symbol
_atom_site_fract_x
_atom_site_fract_y
_atom_site_fract_z
Nd1 Nd 0.0000 0.1236 0.2500
Nd2 Nd 0.0000 0.3734 0.7500
Nd3 Nd 0.5000 0.3724 0.2500
Th1 Th 0.5000 0.1225 0.7500
S1 S 0.2503 0.1249 0.9994
S2 S 0.2516 0.3739 0.5017
# ΔE to the lowest computed polymorph ... 2.6 meV per atom
# VASP energy ... -6.7506 eV per atom
# Formation energy (no corrections) ... -190.21 kJ per mole of atoms



# NdTh4S5, optimized geometry, DFT PBE-GGA
data_NdTh4S5
_chemical_formula_sum 'Nd2 Th8 S10'
_cell_length_a 9.0503
_cell_length_b 9.0503
_cell_length_c 5.7217
_cell_angle_alpha 90.00
_cell_angle_beta 90.00
_cell_angle_gamma 90.00
_symmetry_space_group_name_H-M 'I 4/m'
_symmetry_Int_Tables_number 87
_symmetry_space_group_name_Hall '-I 4'
loop_
_atom_site_label
_atom_site_type_symbol
_atom_site_fract_x
_atom_site_fract_y
_atom_site_fract_z
Nd1 Nd 0.0000 0.0000 0.0000
Th1 Th 0.1007 0.3005 0.5000
S1 S 0.0000 0.0000 0.5000
S2 S 0.1003 0.2997 0.0000
# VASP energy ... -7.3808 eV per atom
# Formation energy (no corrections) ... -180.65 kJ per mole of atoms



# NdTh2S4, optimized geometry, DFT PBE-GGA
data_NdTh2S4
_chemical_formula_sum 'Nd4 Th8 S16'
_cell_length_a 3.9202
_cell_length_b 13.4140
_cell_length_c 13.4593
_cell_angle_alpha 90.00
_cell_angle_beta 90.00
_cell_angle_gamma 90.00
_symmetry_space_group_name_H-M 'C m c m'
_symmetry_Int_Tables_number 63
_symmetry_space_group_name_Hall '-C 2c 2'
loop_
_atom_site_label
_atom_site_type_symbol
_atom_site_fract_x
_atom_site_fract_y
_atom_site_fract_z
Nd1 Nd 0.0000 0.1232 0.2500
Th1 Th 0.0000 0.3624 0.0670
S1 S 0.0000 0.0000 0.0000
S2 S 0.0000 0.2780 0.6287
S3 S 0.0000 0.4664 0.2500
# VASP energy ... -7.0239 eV per atom
# Formation energy (no corrections) ... -179.88 kJ per mole of atoms



# Nd3ThS6, optimized geometry, DFT PBE-GGA
data_Nd3ThS6
_chemical_formula_sum 'Nd6 Th2 S12'
_cell_length_a 11.3425
_cell_length_b 4.0532
_cell_length_c 11.6255
_cell_angle_alpha 90.00
_cell_angle_beta 107.60
_cell_angle_gamma 90.00
_symmetry_space_group_name_H-M 'P 1 21/m 1'
_symmetry_Int_Tables_number 11
_symmetry_space_group_name_Hall '-P 2yb'
loop_
_atom_site_label
_atom_site_type_symbol
_atom_site_fract_x
_atom_site_fract_y
_atom_site_fract_z
Nd1 Nd 0.0763 0.2500 0.1679
Nd2 Nd 0.1803 0.7500 0.5047
Nd3 Nd 0.3372 0.2500 0.9211
Th1 Th 0.4541 0.2500 0.3082
S1 S 0.0212 0.2500 0.3855
S2 S 0.0980 0.2500 0.9319
S3 S 0.2533 0.7500 0.2808
S4 S 0.3173 0.7500 0.7496
S5 S 0.3906 0.2500 0.5377
S6 S 0.4189 0.7500 0.1033
# VASP energy ... -6.6643 eV per atom
# Formation energy (no corrections) ... -194.47 kJ per mole of atoms



# NdThS3, optimized geometry, DFT PBE-GGA
data_NdThS3
_chemical_formula_sum 'Nd4 Th4 S12'
_cell_length_a 7.6168
_cell_length_b 4.0153
_cell_length_c 15.5561
_cell_angle_alpha 90.00
_cell_angle_beta 90.00
_cell_angle_gamma 90.00
_symmetry_space_group_name_H-M 'P n m a'
_symmetry_Int_Tables_number 62
_symmetry_space_group_name_Hall '-P 2ac 2n'
loop_
_atom_site_label
_atom_site_type_symbol
_atom_site_fract_x
_atom_site_fract_y
_atom_site_fract_z
Nd1 Nd 0.1008 0.2500 0.2090
Th1 Th 0.2486 0.7500 0.4583
S1 S 0.0121 0.2500 0.3998
S2 S 0.1285 0.7500 0.0721
S3 S 0.1721 0.2500 0.7794
# ΔE to the lowest computed polymorph ... 0.0 meV per atom
# VASP energy ... -6.9323 eV per atom
# Formation energy (no corrections) ... -194.74 kJ per mole of atoms



# Nd3ThS4, optimized geometry, DFT PBE-GGA
data_Nd3ThS4
_chemical_formula_sum 'Nd6 Th2 S8'
_cell_length_a 8.1438
_cell_length_b 11.4900
_cell_length_c 4.0463
_cell_angle_alpha 90.00
_cell_angle_beta 90.00
_cell_angle_gamma 90.00
_symmetry_space_group_name_H-M 'C m m m'
_symmetry_Int_Tables_number 65
_symmetry_space_group_name_Hall '-C 2 2'
loop_
_atom_site_label
_atom_site_type_symbol
_atom_site_fract_x
_atom_site_fract_y
_atom_site_fract_z
Nd1 Nd 0.0000 0.0000 0.0000
Nd2 Nd 0.2500 0.2500 0.5000
Th1 Th 0.0000 0.5000 0.0000
S1 S 0.0000 0.2510 0.0000
S2 S 0.2488 0.5000 0.5000
# ΔE to the lowest computed polymorph ... 0.0 meV per atom
# VASP energy ... -6.7532 eV per atom
# Formation energy (no corrections) ... -190.47 kJ per mole of atoms



# Nd3Th2S8, optimized geometry, DFT PBE-GGA
data_Nd3Th2S8
_chemical_formula_sum 'Nd6 Th4 S16'
_cell_length_a 9.7697
_cell_length_b 13.6890
_cell_length_c 4.7702
_cell_angle_alpha 90.00
_cell_angle_beta 90.00
_cell_angle_gamma 90.00
_symmetry_space_group_name_H-M 'C m m m'
_symmetry_Int_Tables_number 65
_symmetry_space_group_name_Hall '-C 2 2'
loop_
_atom_site_label
_atom_site_type_symbol
_atom_site_fract_x
_atom_site_fract_y
_atom_site_fract_z
Nd1 Nd 0.0000 0.0000 0.0000
Nd2 Nd 0.2181 0.5000 0.5000
Th1 Th 0.0000 0.2587 0.0000
S1 S 0.0000 0.1226 0.5000
S2 S 0.0000 0.3692 0.5000
S3 S 0.2448 0.1258 0.0000
# VASP energy ... -6.6751 eV per atom
# Formation energy (no corrections) ... -182.68 kJ per mole of atoms



# Nd6ThS8, optimized geometry, DFT PBE-GGA
data_Nd6ThS8
_chemical_formula_sum 'Nd24 Th4 S32'
_cell_length_a 11.4890
_cell_length_b 11.4890
_cell_length_c 11.4890
_cell_angle_alpha 90.00
_cell_angle_beta 90.00
_cell_angle_gamma 90.00
_symmetry_space_group_name_H-M 'F m -3 m'
_symmetry_Int_Tables_number 225
_symmetry_space_group_name_Hall '-F 4 2 3'
loop_
_atom_site_label
_atom_site_type_symbol
_atom_site_fract_x
_atom_site_fract_y
_atom_site_fract_z
Nd1 Nd 0.0000 0.2500 0.2500
Th1 Th 0.0000 0.0000 0.0000
S1 S 0.0000 0.0000 0.2494
S2 S 0.2500 0.2500 0.2500
# VASP energy ... -6.5982 eV per atom
# Formation energy (no corrections) ... -192.50 kJ per mole of atoms